No. 1
8
Lattice="-3.901 3.901 3.050 3.901 -3.901 3.050 3.901 3.901 -3.050" Properties=species:S:1:pos:R:3 comment="TiCdIn2 | Alexandria | PBE-GGA | relaxed" sg=I-42d pbc="T T T"
Ti 0.000 0.000 0.000
Ti 0.000 3.901 1.525
Cd 3.901 0.000 1.525
Cd 0.000 0.000 3.050
In 1.951 -1.930 2.288
In 1.971 1.951 0.763
In 1.951 5.831 -0.763
In 1.930 1.951 3.813


No. 2
10
Lattice="8.056 0.000 0.000 0.000 8.056 0.000 0.000 0.000 3.516" Properties=species:S:1:pos:R:3 comment="TiCd2In2 | Alexandria | PBE-GGA | relaxed" sg=P4/mbm pbc="T T T"
Ti 0.000 0.000 0.000
Ti 4.028 4.028 0.000
Cd 1.023 3.005 0.000
Cd 3.005 7.033 0.000
Cd 5.051 1.023 0.000
Cd 7.033 5.051 0.000
In 1.426 5.454 1.758
In 2.602 1.426 1.758
In 5.454 6.630 1.758
In 6.630 2.602 1.758


No. 3
4
Lattice="1.596 0.922 10.798 -1.596 0.922 10.798 0.000 -1.843 10.798" Properties=species:S:1:pos:R:3 comment="TiCdIn2 | Alexandria | PBE-GGA | relaxed" sg=R-3m pbc="T T T"
Ti 0.000 0.000 0.000
Cd 0.000 0.000 16.196
In 0.000 0.000 2.803
In 0.000 0.000 29.590


No. 4
4
Lattice="4.270 0.000 0.000 0.000 4.270 0.000 0.000 0.000 4.446" Properties=species:S:1:pos:R:3 comment="TiCd2In | Alexandria | PBE-GGA | relaxed" sg=P4/mmm pbc="T T T"
Ti 0.000 0.000 0.000
Cd 0.000 2.135 2.223
Cd 2.135 0.000 2.223
In 2.135 2.135 0.000


No. 5
5
Lattice="5.637 0.000 0.000 0.000 5.637 0.000 0.000 0.000 5.564" Properties=species:S:1:pos:R:3 comment="YTiCdIn2 | Alexandria | PBE-GGA | relaxed" sg=P4/mmm pbc="T T T"
Y 0.000 0.000 0.000
Ti 2.819 2.819 2.782
Cd 0.000 0.000 2.782
In 0.000 2.819 0.000
In 2.819 0.000 0.000


No. 6
4
Lattice="0.000 3.582 3.582 3.582 0.000 3.582 3.582 3.582 0.000" Properties=species:S:1:pos:R:3 comment="YTiCdIn | Alexandria | PBE-GGA | relaxed" sg=F-43m pbc="T T T"
Y 0.000 0.000 0.000
Ti 3.582 3.582 3.582
Cd 1.791 1.791 1.791
In 5.372 5.372 5.372


Number 1: ΔH_f (0 K) 0.269 eV per atom. Number 2: ΔH_f (0 K) 0.265 eV per atom. Number 3: ΔH_f (0 K) 0.339 eV per atom. Number 4: ΔH_f (0 K) -0.052 eV per atom. Number 5: ΔH_f (0 K) 1.165 eV per atom. Number 6: ΔH_f (0 K) -0.153 eV per atom.